*w*
! PBE-GGA TlHg2F, optimized geometry; values from VASP
&SYSTEM
  ibrav = 0, nat = 8, ntyp = 3
/
ATOMIC_SPECIES
Tl 204.38 Tl.upf
Hg 200.59 Hg.upf
F 19.00 F.upf
CELL_PARAMETERS angstrom
3.794 0.000 0.000
0.000 3.791 0.000
-0.039 0.000 16.691
ATOMIC_POSITIONS crystal
Tl 0.250 0.250 0.094
Tl 0.750 0.750 0.906
Hg 0.248 0.750 0.703
Hg 0.251 0.750 0.432
Hg 0.749 0.250 0.568
Hg 0.752 0.250 0.297
F 0.250 0.250 0.945
F 0.750 0.750 0.055
! - Mass density: 8.6 Mg/m³
! - SG: P2_1/m, No. 11

***

*x*
! PBE-GGA TlHg2F, optimized geometry; values from VASP
&SYSTEM
  ibrav = 0, nat = 16, ntyp = 3
/
ATOMIC_SPECIES
Tl 204.38 Tl.upf
Hg 200.59 Hg.upf
F 19.00 F.upf
CELL_PARAMETERS angstrom
7.437 0.000 0.000
0.000 7.437 0.000
0.000 0.000 7.437
ATOMIC_POSITIONS crystal
Tl 0.000 0.000 0.000
Tl 0.000 0.500 0.500
Tl 0.500 0.000 0.500
Tl 0.500 0.500 0.000
Hg 0.250 0.250 0.250
Hg 0.250 0.250 0.750
Hg 0.250 0.750 0.250
Hg 0.250 0.750 0.750
Hg 0.750 0.250 0.250
Hg 0.750 0.250 0.750
Hg 0.750 0.750 0.250
Hg 0.750 0.750 0.750
F 0.000 0.000 0.500
F 0.000 0.500 0.000
F 0.500 0.000 0.000
F 0.500 0.500 0.500
! - Mass density: 10.1 Mg/m³
! - SG: Fm-3m, No. 225

***

*y*
! PBE-GGA TlHg2F, optimized geometry; values from VASP
&SYSTEM
  ibrav = 0, nat = 16, ntyp = 3
/
ATOMIC_SPECIES
Tl 204.38 Tl.upf
Hg 200.59 Hg.upf
F 19.00 F.upf
CELL_PARAMETERS angstrom
8.472 0.000 0.000
0.000 8.472 0.000
0.000 0.000 5.780
ATOMIC_POSITIONS crystal
Tl 0.000 0.000 0.000
Tl 0.000 0.500 0.250
Tl 0.500 0.000 0.750
Tl 0.500 0.500 0.500
Hg 0.209 0.250 0.625
Hg 0.250 0.709 0.875
Hg 0.250 0.791 0.375
Hg 0.291 0.250 0.125
Hg 0.709 0.750 0.125
Hg 0.750 0.209 0.375
Hg 0.750 0.291 0.875
Hg 0.791 0.750 0.625
F 0.000 0.000 0.500
F 0.000 0.500 0.750
F 0.500 0.000 0.250
F 0.500 0.500 0.000
! - Mass density: 10.0 Mg/m³
! - SG: I-42d, No. 122

***

Energetically preferred structure: *w* | next structure: +0.193 eV/atom

***

*w*
! PBE-GGA Tl3HgF, optimized geometry; values from VASP
&SYSTEM
  ibrav = 0, nat = 5, ntyp = 3
/
ATOMIC_SPECIES
Tl 204.38 Tl.upf
Hg 200.59 Hg.upf
F 19.00 F.upf
CELL_PARAMETERS angstrom
5.875 0.000 0.000
0.000 5.875 0.000
0.000 0.000 5.875
ATOMIC_POSITIONS crystal
Tl 0.000 0.000 0.500
Tl 0.000 0.500 0.000
Tl 0.500 0.000 0.000
Hg 0.000 0.000 0.000
F 0.500 0.500 0.500
! - Mass density: 6.8 Mg/m³
! - SG: Pm-3m, No. 221

***

*x*
! PBE-GGA Tl3HgF, optimized geometry; values from VASP
&SYSTEM
  ibrav = 0, nat = 5, ntyp = 3
/
ATOMIC_SPECIES
Tl 204.38 Tl.upf
Hg 200.59 Hg.upf
F 19.00 F.upf
CELL_PARAMETERS angstrom
5.297 0.000 0.000
0.000 5.297 0.000
0.000 0.000 5.297
ATOMIC_POSITIONS crystal
Tl 0.000 0.000 0.500
Tl 0.000 0.500 0.000
Tl 0.500 0.000 0.000
Hg 0.500 0.500 0.500
F 0.000 0.000 0.000
! - Mass density: 9.3 Mg/m³
! - SG: Pm-3m, No. 221

***

Energetically preferred structure: *x* | next structure: +0.433 eV/atom

***

*w*
! PBE-GGA TlHgF2, optimized geometry; values from VASP
&SYSTEM
  ibrav = 0, nat = 8, ntyp = 3
/
ATOMIC_SPECIES
Tl 204.38 Tl.upf
Hg 200.59 Hg.upf
F 19.00 F.upf
CELL_PARAMETERS angstrom
6.336 0.000 0.000
0.000 3.671 0.000
-2.111 0.000 7.068
ATOMIC_POSITIONS crystal
Tl 0.000 0.000 0.000
Tl 0.500 0.500 0.000
Hg 0.331 0.500 0.494
Hg 0.831 0.000 0.494
F 0.065 0.500 0.699
F 0.410 0.000 0.228
F 0.565 0.000 0.699
F 0.910 0.500 0.228
! - Mass density: 8.9 Mg/m³
! - SG: Cm, No. 8

***

*x*
! PBE-GGA TlHgF2, optimized geometry; values from VASP
&SYSTEM
  ibrav = 0, nat = 12, ntyp = 3
/
ATOMIC_SPECIES
Tl 204.38 Tl.upf
Hg 200.59 Hg.upf
F 19.00 F.upf
CELL_PARAMETERS angstrom
3.745 0.000 0.000
-1.873 3.243 0.000
0.000 0.000 23.846
ATOMIC_POSITIONS crystal
Tl 0.000 0.000 0.000
Tl 0.333 0.667 0.667
Tl 0.667 0.333 0.333
Hg 0.000 0.000 0.500
Hg 0.333 0.667 0.167
Hg 0.667 0.333 0.833
F 0.000 0.000 0.404
F 0.000 0.000 0.596
F 0.333 0.667 0.071
F 0.333 0.667 0.263
F 0.667 0.333 0.737
F 0.667 0.333 0.929
! - Mass density: 7.6 Mg/m³
! - SG: R-3m, No. 166

***

*y*
! PBE-GGA TlHgF2, optimized geometry; values from VASP
&SYSTEM
  ibrav = 0, nat = 8, ntyp = 3
/
ATOMIC_SPECIES
Tl 204.38 Tl.upf
Hg 200.59 Hg.upf
F 19.00 F.upf
CELL_PARAMETERS angstrom
3.874 0.000 0.000
-0.225 6.360 0.000
-0.808 -0.704 7.894
ATOMIC_POSITIONS crystal
Tl 0.000 0.000 0.000
Tl 0.454 0.056 0.529
Hg 0.481 0.475 0.940
Hg 0.878 0.521 0.231
F 0.044 0.311 0.775
F 0.343 0.426 0.385
F 0.456 0.821 0.834
F 0.927 0.885 0.334
! - Mass density: 7.6 Mg/m³
! - SG: P1, No. 1

***

*z*
! PBE-GGA TlHgF2, optimized geometry; values from VASP
&SYSTEM
  ibrav = 0, nat = 16, ntyp = 3
/
ATOMIC_SPECIES
Tl 204.38 Tl.upf
Hg 200.59 Hg.upf
F 19.00 F.upf
CELL_PARAMETERS angstrom
6.134 0.000 0.000
0.000 6.134 0.000
0.000 0.000 10.990
ATOMIC_POSITIONS crystal
Tl 0.000 0.000 0.000
Tl 0.000 0.500 0.250
Tl 0.500 0.000 0.750
Tl 0.500 0.500 0.500
Hg 0.000 0.000 0.500
Hg 0.000 0.500 0.750
Hg 0.500 0.000 0.250
Hg 0.500 0.500 0.000
F 0.219 0.250 0.625
F 0.250 0.719 0.875
F 0.250 0.781 0.375
F 0.281 0.250 0.125
F 0.719 0.750 0.125
F 0.750 0.219 0.375
F 0.750 0.281 0.875
F 0.781 0.750 0.625
! - Mass density: 7.1 Mg/m³
! - SG: I-42d, No. 122

***

Energetically preferred structure: *y* | next structure: +0.152 eV/atom

***

*w*
! PBE-GGA TlHgF2, optimized geometry; values from VASP
&SYSTEM
  ibrav = 0, nat = 16, ntyp = 3
/
ATOMIC_SPECIES
Tl 204.38 Tl.upf
Hg 200.59 Hg.upf
F 19.00 F.upf
CELL_PARAMETERS angstrom
6.646 0.000 0.000
0.000 6.646 0.000
0.000 0.000 6.646
ATOMIC_POSITIONS crystal
Tl 0.000 0.000 0.000
Tl 0.000 0.500 0.500
Tl 0.500 0.000 0.500
Tl 0.500 0.500 0.000
Hg 0.000 0.000 0.500
Hg 0.000 0.500 0.000
Hg 0.500 0.000 0.000
Hg 0.500 0.500 0.500
F 0.250 0.250 0.250
F 0.250 0.250 0.750
F 0.250 0.750 0.250
F 0.250 0.750 0.750
F 0.750 0.250 0.250
F 0.750 0.250 0.750
F 0.750 0.750 0.250
F 0.750 0.750 0.750
! - Mass density: 10.0 Mg/m³
! - SG: Fm-3m, No. 225

***

*x*
! PBE-GGA TlHgF2, optimized geometry; values from VASP
&SYSTEM
  ibrav = 0, nat = 8, ntyp = 3
/
ATOMIC_SPECIES
Tl 204.38 Tl.upf
Hg 200.59 Hg.upf
F 19.00 F.upf
CELL_PARAMETERS angstrom
5.644 0.000 0.000
0.000 3.688 0.000
-1.640 0.000 7.898
ATOMIC_POSITIONS crystal
Tl 0.229 0.250 0.383
Tl 0.771 0.750 0.617
Hg 0.311 0.750 0.939
Hg 0.689 0.250 0.061
F 0.024 0.250 0.865
F 0.221 0.750 0.620
F 0.779 0.250 0.380
F 0.976 0.750 0.135
! - Mass density: 8.9 Mg/m³
! - SG: P2_1/m, No. 11

***

Energetically preferred structure: *x* | next structure: +0.276 eV/atom

***

*w*
! PBE-GGA Tl2Hg2F, optimized geometry; values from VASP
&SYSTEM
  ibrav = 0, nat = 10, ntyp = 3
/
ATOMIC_SPECIES
Tl 204.38 Tl.upf
Hg 200.59 Hg.upf
F 19.00 F.upf
CELL_PARAMETERS angstrom
7.271 0.000 0.000
0.000 7.271 0.000
0.000 0.000 5.416
ATOMIC_POSITIONS crystal
Tl 0.180 0.320 0.000
Tl 0.320 0.820 0.000
Tl 0.680 0.180 0.000
Tl 0.820 0.680 0.000
Hg 0.155 0.655 0.500
Hg 0.345 0.155 0.500
Hg 0.655 0.845 0.500
Hg 0.845 0.345 0.500
F 0.000 0.000 0.000
F 0.500 0.500 0.000
! - Mass density: 9.6 Mg/m³
! - SG: P4/mbm, No. 127

***

*x*
! PBE-GGA Tl2Hg2F, optimized geometry; values from VASP
&SYSTEM
  ibrav = 0, nat = 10, ntyp = 3
/
ATOMIC_SPECIES
Tl 204.38 Tl.upf
Hg 200.59 Hg.upf
F 19.00 F.upf
CELL_PARAMETERS angstrom
4.054 0.000 0.000
0.000 4.054 0.000
0.000 0.000 17.927
ATOMIC_POSITIONS crystal
Tl 0.000 0.000 0.084
Tl 0.000 0.000 0.916
Tl 0.500 0.500 0.416
Tl 0.500 0.500 0.584
Hg 0.000 0.500 0.250
Hg 0.000 0.500 0.750
Hg 0.500 0.000 0.250
Hg 0.500 0.000 0.750
F 0.000 0.000 0.500
F 0.500 0.500 0.000
! - Mass density: 9.3 Mg/m³
! - SG: I4/mmm, No. 139

***

Energetically preferred structure: *w* | next structure: +0.143 eV/atom

***

*w*
! PBE-GGA TmHgF3, optimized geometry; values from VASP
&SYSTEM
  ibrav = 0, nat = 10, ntyp = 3
/
ATOMIC_SPECIES
Tm 168.93 Tm.upf
Hg 200.59 Hg.upf
F 19.00 F.upf
CELL_PARAMETERS angstrom
3.028 1.748 7.809
-3.028 1.748 7.809
0.000 -3.497 7.809
ATOMIC_POSITIONS crystal
Tm 0.170 0.170 0.170
Tm 0.830 0.830 0.830
Hg 0.342 0.342 0.342
Hg 0.658 0.658 0.658
F 0.061 0.853 0.445
F 0.147 0.555 0.939
F 0.445 0.061 0.853
F 0.555 0.939 0.147
F 0.853 0.445 0.061
F 0.939 0.147 0.555
! - Mass density: 5.7 Mg/m³
! - SG: R-3, No. 148

***

*x*
! PBE-GGA TmHgF3, optimized geometry; values from VASP
&SYSTEM
  ibrav = 0, nat = 5, ntyp = 3
/
ATOMIC_SPECIES
Tm 168.93 Tm.upf
Hg 200.59 Hg.upf
F 19.00 F.upf
CELL_PARAMETERS angstrom
4.422 0.000 0.000
0.000 4.422 0.000
0.000 0.000 4.422
ATOMIC_POSITIONS crystal
Tm 0.000 0.000 0.000
Hg 0.500 0.500 0.500
F 0.000 0.000 0.500
F 0.000 0.500 0.000
F 0.500 0.000 0.000
! - Mass density: 8.2 Mg/m³
! - SG: Pm-3m, No. 221

***

Energetically preferred structure: *w* | next structure: +0.038 eV/atom